# LiSiOs2

An optimized crystal structure of LiSiOs2 (PBE, the Alexandria database).

Geometry as POSCAR:
```
LiSiOs2
1.0
1.381 0.797 8.676
-1.381 0.797 8.676
0.000 -1.595 8.676
Li Si Os
1 1 2
Direct
0.000 0.000 0.000
0.753 0.753 0.753
0.244 0.244 0.244
0.495 0.495 0.495
```

Output
The crystal system is trigonal. The electronic total energy comes out at -0.26964 hartree per atom. The uncorrected formation energy is 0.11 eV per atom. For the size of the total moment, the calculation gives 0.0 μB/cell.